(1)
Density functional theory data (GGA-PBE) for Pr3TlOs after structural relaxation.

Geometry as POSCAR:
```
Pr3TlOs
1.0
-0.5807 5.7364 0.8998
-5.6531 -3.1218 -2.6686
0.3716 -1.3759 9.0113
Pr Tl Os
6 2 2
Direct
0.8976 0.7952 0.7822 Pr
0.1024 0.2048 0.2178 Pr
0.6169 0.2339 0.8944 Pr
0.3831 0.7661 0.1056 Pr
0.8360 0.6719 0.3506 Pr
0.1640 0.3281 0.6494 Pr
0.3866 0.7731 0.5354 Tl
0.6134 0.2269 0.4646 Tl
0.1405 0.2810 0.9345 Os
0.8595 0.7190 0.0655 Os
```

Calculated values
**Polymorph energy (0 for the lowest one)**: 0.0672 eV per atom
**Total magnetic moment**: 0.00 μB/cell
**E_form**: -0.57 eV/f.u.

---

(2)
Density functional theory data (GGA-PBE) for Pa2CrP4Ir3 after structural relaxation.

Geometry as POSCAR:
```
Pa2CrP4Ir3
1.0
-1.8283 -3.1777 -1.9828
2.9567 -2.5790 1.4069
-5.1158 -1.7562 7.5319
Pa Cr P Ir
2 1 4 3
Direct
0.5000 0.0000 0.2548 Pa
0.0000 0.5000 0.7452 Pa
0.5000 0.5000 0.5000 Cr
0.5000 0.5000 0.0000 P
0.0000 0.0000 0.0000 P
0.5000 0.0000 0.6291 P
0.0000 0.5000 0.3709 P
0.0000 0.0000 0.5000 Ir
0.5000 0.0000 0.8856 Ir
0.0000 0.5000 0.1144 Ir
```

Calculated values
**Total magnetic moment**: 0.00 μB/cell
**E_form**: -9.14 eV/f.u.

---

> Among the records above, which one has the lowest E_form?

Pa2CrP4Ir3